# NbPtW (PBE, optimized geometry)
data_NbPtW
_chemical_formula_sum 'Nb1 Pt1 W1'
_cell_length_a 4.9681
_cell_length_b 4.9681
_cell_length_c 4.9681
_cell_angle_alpha 139.87
_cell_angle_beta 139.87
_cell_angle_gamma 58.04
_symmetry_space_group_name_H-M 'P 1'
_symmetry_Int_Tables_number 1
_symmetry_space_group_name_Hall 'P 1'
loop_
_atom_site_label
_atom_site_type_symbol
_atom_site_fract_x
_atom_site_fract_y
_atom_site_fract_z
Nb1 Nb 0.0000 0.0000 0.0000
Pt1 Pt 0.3278 0.3278 0.0000
W1 W 0.6634 0.6634 0.0000
# - N(E_F) (states/eV/f.u.) = 3.37
# - formation energy from the elements (eV per atom) = -0.029
# - DFT total energy (eV for the cell shown) = -29.150


# NbPt14W (PBE, optimized geometry)
data_NbPt14W
_chemical_formula_sum 'Nb1 Pt14 W1'
_cell_length_a 5.6475
_cell_length_b 5.6475
_cell_length_c 7.8953
_cell_angle_alpha 90.00
_cell_angle_beta 90.00
_cell_angle_gamma 90.00
_symmetry_space_group_name_H-M 'P 1'
_symmetry_Int_Tables_number 1
_symmetry_space_group_name_Hall 'P 1'
loop_
_atom_site_label
_atom_site_type_symbol
_atom_site_fract_x
_atom_site_fract_y
_atom_site_fract_z
Nb1 Nb 0.0000 0.0000 0.0000
Pt1 Pt 0.0000 0.0000 0.5000
Pt2 Pt 0.0000 0.5000 0.0000
Pt3 Pt 0.0000 0.5000 0.5000
Pt4 Pt 0.2516 0.2516 0.2420
Pt5 Pt 0.2516 0.2516 0.7580
Pt6 Pt 0.2516 0.7484 0.2420
Pt7 Pt 0.2516 0.7484 0.7580
Pt8 Pt 0.5000 0.0000 0.0000
Pt9 Pt 0.5000 0.0000 0.5000
Pt10 Pt 0.5000 0.5000 0.5000
Pt11 Pt 0.7484 0.2516 0.2420
Pt12 Pt 0.7484 0.2516 0.7580
Pt13 Pt 0.7484 0.7484 0.2420
Pt14 Pt 0.7484 0.7484 0.7580
W1 W 0.5000 0.5000 0.0000
# - N(E_F) (states/eV/f.u.) = 19.30
# - formation energy from the elements (eV per atom) = -0.287
# - DFT total energy (eV for the cell shown) = -112.187


# Nb2PtW (PBE, optimized geometry)
data_Nb2PtW
_chemical_formula_sum 'Nb2 Pt1 W1'
_cell_length_a 4.4740
_cell_length_b 4.4740
_cell_length_c 3.4029
_cell_angle_alpha 90.00
_cell_angle_beta 90.00
_cell_angle_gamma 90.00
_symmetry_space_group_name_H-M 'P 1'
_symmetry_Int_Tables_number 1
_symmetry_space_group_name_Hall 'P 1'
loop_
_atom_site_label
_atom_site_type_symbol
_atom_site_fract_x
_atom_site_fract_y
_atom_site_fract_z
Nb1 Nb 0.0000 0.5000 0.0000
Nb2 Nb 0.5000 0.0000 0.0000
Pt1 Pt 0.0000 0.0000 0.5000
W1 W 0.5000 0.5000 0.5000
# - N(E_F) (states/eV/f.u.) = 3.12
# - formation energy from the elements (eV per atom) = -0.232
# - DFT total energy (eV for the cell shown) = -40.063


# Nb2Pt8W (PBE, optimized geometry)
data_Nb2Pt8W
_chemical_formula_sum 'Nb2 Pt8 W1'
_cell_length_a 7.3387
_cell_length_b 7.3387
_cell_length_c 5.2321
_cell_angle_alpha 110.65
_cell_angle_beta 110.65
_cell_angle_gamma 116.53
_symmetry_space_group_name_H-M 'P 1'
_symmetry_Int_Tables_number 1
_symmetry_space_group_name_Hall 'P 1'
loop_
_atom_site_label
_atom_site_type_symbol
_atom_site_fract_x
_atom_site_fract_y
_atom_site_fract_z
Nb1 Nb 0.1948 0.8052 0.0000
Nb2 Nb 0.8052 0.1948 0.0000
Pt1 Pt 0.1115 0.1115 0.3350
Pt2 Pt 0.1764 0.3980 0.9045
Pt3 Pt 0.2804 0.7196 0.5000
Pt4 Pt 0.3980 0.1764 0.9045
Pt5 Pt 0.6020 0.8236 0.0955
Pt6 Pt 0.7196 0.2804 0.5000
Pt7 Pt 0.8236 0.6020 0.0955
Pt8 Pt 0.8885 0.8885 0.6650
W1 W 0.5000 0.5000 0.5000
# - N(E_F) (states/eV/f.u.) = 8.40
# - formation energy from the elements (eV per atom) = -0.262
# - DFT total energy (eV for the cell shown) = -84.296


# NbPtW2 (PBE, optimized geometry)
data_NbPtW2
_chemical_formula_sum 'Nb2 Pt2 W4'
_cell_length_a 5.8456
_cell_length_b 5.8456
_cell_length_c 5.8456
_cell_angle_alpha 102.02
_cell_angle_beta 102.02
_cell_angle_gamma 125.69
_symmetry_space_group_name_H-M 'P 1'
_symmetry_Int_Tables_number 1
_symmetry_space_group_name_Hall 'P 1'
loop_
_atom_site_label
_atom_site_type_symbol
_atom_site_fract_x
_atom_site_fract_y
_atom_site_fract_z
Nb1 Nb 0.0000 0.0000 0.0000
Nb2 Nb 0.7500 0.2500 0.5000
Pt1 Pt 0.2500 0.7500 0.5000
Pt2 Pt 0.5000 0.5000 0.0000
W1 W 0.1371 0.6250 0.0121
W2 W 0.3750 0.3871 0.5121
W3 W 0.6129 0.1250 0.9879
W4 W 0.8750 0.8629 0.4879
# - N(E_F) (states/eV/f.u.) = 3.81
# - formation energy from the elements (eV per atom) = 0.659
# - DFT total energy (eV for the cell shown) = -78.762


# NbPtW2 (PBE, optimized geometry)
data_NbPtW2
_chemical_formula_sum 'Nb1 Pt1 W2'
_cell_length_a 4.5374
_cell_length_b 4.5374
_cell_length_c 4.5374
_cell_angle_alpha 60.00
_cell_angle_beta 60.00
_cell_angle_gamma 60.00
_symmetry_space_group_name_H-M 'P 1'
_symmetry_Int_Tables_number 1
_symmetry_space_group_name_Hall 'P 1'
loop_
_atom_site_label
_atom_site_type_symbol
_atom_site_fract_x
_atom_site_fract_y
_atom_site_fract_z
Nb1 Nb 0.0000 0.0000 0.0000
Pt1 Pt 0.5000 0.5000 0.5000
W1 W 0.2500 0.2500 0.2500
W2 W 0.7500 0.7500 0.7500
# - N(E_F) (states/eV/f.u.) = 5.00
# - formation energy from the elements (eV per atom) = 0.178
# - DFT total energy (eV for the cell shown) = -41.305


# Nb2PtW (PBE, optimized geometry)
data_Nb2PtW
_chemical_formula_sum 'Nb2 Pt1 W1'
_cell_length_a 3.3084
_cell_length_b 3.3084
_cell_length_c 6.2443
_cell_angle_alpha 90.00
_cell_angle_beta 90.00
_cell_angle_gamma 90.00
_symmetry_space_group_name_H-M 'P 1'
_symmetry_Int_Tables_number 1
_symmetry_space_group_name_Hall 'P 1'
loop_
_atom_site_label
_atom_site_type_symbol
_atom_site_fract_x
_atom_site_fract_y
_atom_site_fract_z
Nb1 Nb 0.0000 0.0000 0.2427
Nb2 Nb 0.0000 0.0000 0.7573
Pt1 Pt 0.5000 0.5000 0.5000
W1 W 0.5000 0.5000 0.0000
# - N(E_F) (states/eV/f.u.) = 4.08
# - formation energy from the elements (eV per atom) = -0.261
# - DFT total energy (eV for the cell shown) = -40.176


# Y3NbPt12 (PBE, optimized geometry)
data_Y3NbPt12
_chemical_formula_sum 'Y3 Nb1 Pt12'
_cell_length_a 4.0916
_cell_length_b 4.0916
_cell_length_c 16.4195
_cell_angle_alpha 90.00
_cell_angle_beta 90.00
_cell_angle_gamma 90.00
_symmetry_space_group_name_H-M 'P 1'
_symmetry_Int_Tables_number 1
_symmetry_space_group_name_Hall 'P 1'
loop_
_atom_site_label
_atom_site_type_symbol
_atom_site_fract_x
_atom_site_fract_y
_atom_site_fract_z
Y1 Y 0.0000 0.0000 0.0000
Y2 Y 0.0000 0.0000 0.2512
Y3 Y 0.0000 0.0000 0.7488
Nb1 Nb 0.0000 0.0000 0.5000
Pt1 Pt 0.0000 0.5000 0.1271
Pt2 Pt 0.0000 0.5000 0.3847
Pt3 Pt 0.0000 0.5000 0.6153
Pt4 Pt 0.0000 0.5000 0.8729
Pt5 Pt 0.5000 0.0000 0.1271
Pt6 Pt 0.5000 0.0000 0.3847
Pt7 Pt 0.5000 0.0000 0.6153
Pt8 Pt 0.5000 0.0000 0.8729
Pt9 Pt 0.5000 0.5000 0.0000
Pt10 Pt 0.5000 0.5000 0.2561
Pt11 Pt 0.5000 0.5000 0.5000
Pt12 Pt 0.5000 0.5000 0.7439
# - N(E_F) (states/eV/f.u.) = 9.96
# - formation energy from the elements (eV per atom) = -0.926
# - DFT total energy (eV for the cell shown) = -116.768